# 1
# PBE Cs2NpF7, relaxed
data_Cs2NpF7
_cell_length_a 15.164
_cell_length_b 7.356
_cell_length_c 10.950
_cell_angle_alpha 90.00
_cell_angle_beta 133.46
_cell_angle_gamma 90.00
_symmetry_space_group_name_H-M 'C 1 2/c 1'
_symmetry_Int_Tables_number 15
_symmetry_space_group_name_Hall '-C 2yc'
loop_
_atom_site_label
_atom_site_type_symbol
_atom_site_fract_x
_atom_site_fract_y
_atom_site_fract_z
Cs1 Cs 0.164 0.087 0.258
Np1 Np 0.000 0.443 0.750
F1 F 0.000 0.148 0.750
F2 F 0.081 0.313 0.410
F3 F 0.106 0.356 0.005
F4 F 0.157 0.445 0.794
# ΔE_f (raw)	-3.179	eV/atom
# energy above the lowest structure with this stoichiometry	0.00	eV per formula unit
# crystal system	monoclinic


# 2
# PBE NaV, relaxed
data_NaV
_cell_length_a 6.539
_cell_length_b 4.848
_cell_length_c 11.715
_cell_angle_alpha 90.00
_cell_angle_beta 90.00
_cell_angle_gamma 90.00
_symmetry_space_group_name_H-M 'P n m a'
_symmetry_Int_Tables_number 62
_symmetry_space_group_name_Hall '-P 2ac 2n'
loop_
_atom_site_label
_atom_site_type_symbol
_atom_site_fract_x
_atom_site_fract_y
_atom_site_fract_z
Na1 Na 0.074 0.250 0.081
Na2 Na 0.177 0.250 0.791
V1 V 0.035 0.250 0.371
V2 V 0.055 0.250 0.531
# calculated formation energy	0.7313	eV per atom
# energy above the lowest structure with this stoichiometry	0.49	eV per formula unit
# Fermi-level density of states	0.5875	states/eV/atom
# crystal system	orthorhombic


# 3
# PBE CoReOs2, relaxed
data_CoReOs2
_cell_length_a 2.7127
_cell_length_b 2.7127
_cell_length_c 25.9469
_cell_angle_alpha 90.00
_cell_angle_beta 90.00
_cell_angle_gamma 120.00
_symmetry_space_group_name_H-M 'R 3 m'
_symmetry_Int_Tables_number 160
_symmetry_space_group_name_Hall 'R 3 -2"'
loop_
_atom_site_label
_atom_site_type_symbol
_atom_site_fract_x
_atom_site_fract_y
_atom_site_fract_z
Co1 Co 0.0000 0.0000 0.0000
Re1 Re 0.0000 0.0000 0.2524
Os1 Os 0.0000 0.0000 0.4995
Os2 Os 0.0000 0.0000 0.7468
# calculated formation energy	0.1781	eV per atom
# energy above the lowest structure with this stoichiometry	0.36	eV per formula unit
# Fermi-level density of states	1.3382	states/eV/atom
# crystal system	trigonal


# 4
# PBE TbSm2Ho6Er, relaxed
data_TbSm2Ho6Er
_cell_length_a 8.988
_cell_length_b 14.982
_cell_length_c 9.603
_cell_angle_alpha 90.00
_cell_angle_beta 98.56
_cell_angle_gamma 90.00
_symmetry_space_group_name_H-M 'C 1 2/c 1'
_symmetry_Int_Tables_number 15
_symmetry_space_group_name_Hall '-C 2yc'
loop_
_atom_site_label
_atom_site_type_symbol
_atom_site_fract_x
_atom_site_fract_y
_atom_site_fract_z
Tb1 Tb 0.000 0.020 0.250
Sm1 Sm 0.247 0.052 0.543
Ho1 Ho 0.064 0.189 0.943
Ho2 Ho 0.102 0.394 0.120
Ho3 Ho 0.203 0.224 0.314
Er1 Er 0.000 0.408 0.750
# calculated formation energy	0.1174	eV per atom
# Fermi-level density of states	1.3473	states/eV/atom
# crystal system	monoclinic


# 5
# PBE Zr2ReTcH, relaxed
data_Zr2ReTcH
_cell_length_a 4.682
_cell_length_b 4.682
_cell_length_c 3.438
_cell_angle_alpha 90.00
_cell_angle_beta 90.00
_cell_angle_gamma 90.00
_symmetry_space_group_name_H-M 'P 4/m m m'
_symmetry_Int_Tables_number 123
_symmetry_space_group_name_Hall '-P 4 2'
loop_
_atom_site_label
_atom_site_type_symbol
_atom_site_fract_x
_atom_site_fract_y
_atom_site_fract_z
Zr1 Zr 0.000 0.500 0.000
Re1 Re 0.000 0.000 0.500
Tc1 Tc 0.500 0.500 0.500
H1 H 0.000 0.000 0.000
# energy above the lowest structure with this stoichiometry	0.21	eV per formula unit
# Fermi-level density of states	0.8100	states/eV/atom
# crystal system	tetragonal


# 6
# PBE Pr5SmPb3, relaxed
data_Pr5SmPb3
_cell_length_a 9.8302
_cell_length_b 9.8302
_cell_length_c 6.8631
_cell_angle_alpha 90.00
_cell_angle_beta 90.00
_cell_angle_gamma 120.00
_symmetry_space_group_name_H-M 'P 63/m c m'
_symmetry_Int_Tables_number 193
_symmetry_space_group_name_Hall '-P 6c 2'
loop_
_atom_site_label
_atom_site_type_symbol
_atom_site_fract_x
_atom_site_fract_y
_atom_site_fract_z
Pr1 Pr 0.0000 0.3323 0.2500
Pr2 Pr 0.3333 0.6667 0.0000
Sm1 Sm 0.0000 0.0000 0.0000
Pb1 Pb 0.0000 0.3330 0.7500
# calculated formation energy	-0.4281	eV per atom
# Fermi-level density of states	1.1075	states/eV/atom
# crystal system	hexagonal


# 7
# PBE Sb2TeRhBr, relaxed
data_Sb2TeRhBr
_cell_length_a 5.371
_cell_length_b 5.371
_cell_length_c 5.541
_cell_angle_alpha 90.00
_cell_angle_beta 90.00
_cell_angle_gamma 90.00
_symmetry_space_group_name_H-M 'P 4/m m m'
_symmetry_Int_Tables_number 123
_symmetry_space_group_name_Hall '-P 4 2'
loop_
_atom_site_label
_atom_site_type_symbol
_atom_site_fract_x
_atom_site_fract_y
_atom_site_fract_z
Sb1 Sb 0.000 0.500 0.000
Te1 Te 0.000 0.000 0.500
Rh1 Rh 0.500 0.500 0.500
Br1 Br 0.000 0.000 0.000
# ΔE_f (raw)	1.385	eV/atom
# energy above the lowest structure with this stoichiometry	5.63	eV per formula unit
# Fermi-level density of states	1.1529	states/eV/atom
# crystal system	tetragonal


# 8
# PBE Bi3MoRh, relaxed
data_Bi3MoRh
_cell_length_a 5.278
_cell_length_b 5.278
_cell_length_c 5.278
_cell_angle_alpha 90.00
_cell_angle_beta 90.00
_cell_angle_gamma 90.00
_symmetry_space_group_name_H-M 'P m -3 m'
_symmetry_Int_Tables_number 221
_symmetry_space_group_name_Hall '-P 4 2 3'
loop_
_atom_site_label
_atom_site_type_symbol
_atom_site_fract_x
_atom_site_fract_y
_atom_site_fract_z
Bi1 Bi 0.000 0.000 0.500
Mo1 Mo 0.500 0.500 0.500
Rh1 Rh 0.000 0.000 0.000
# calculated formation energy	0.9428	eV per atom
# energy above the lowest structure with this stoichiometry	0.00	eV per formula unit
# Fermi-level density of states	0.9553	states/eV/atom
# crystal system	cubic


# 9
# PBE LaSbRu, relaxed
data_LaSbRu
_cell_length_a 4.5400
_cell_length_b 4.5400
_cell_length_c 4.2383
_cell_angle_alpha 90.00
_cell_angle_beta 90.00
_cell_angle_gamma 120.00
_symmetry_space_group_name_H-M 'P -6 m 2'
_symmetry_Int_Tables_number 187
_symmetry_space_group_name_Hall 'P -6 2'
loop_
_atom_site_label
_atom_site_type_symbol
_atom_site_fract_x
_atom_site_fract_y
_atom_site_fract_z
La1 La 0.0000 0.0000 0.0000
Sb1 Sb 0.3333 0.6667 0.5000
Ru1 Ru 0.6667 0.3333 0.5000
# ΔE_f (raw)	-0.537	eV/atom
# Fermi-level density of states	1.5952	states/eV/atom
# crystal system	hexagonal


# 10
# PBE SrH4Pd3, relaxed
data_SrH4Pd3
_cell_length_a 5.599
_cell_length_b 5.599
_cell_length_c 5.599
_cell_angle_alpha 90.00
_cell_angle_beta 90.00
_cell_angle_gamma 90.00
_symmetry_space_group_name_H-M 'P m -3 n'
_symmetry_Int_Tables_number 223
_symmetry_space_group_name_Hall '-P 4n 2 3'
loop_
_atom_site_label
_atom_site_type_symbol
_atom_site_fract_x
_atom_site_fract_y
_atom_site_fract_z
Sr1 Sr 0.000 0.000 0.000
H1 H 0.250 0.250 0.250
Pd1 Pd 0.000 0.250 0.500
# Fermi-level density of states	0.2394	states/eV/atom
# VASP energy	-0.1493	hartree per atom
# crystal system	cubic